Entry 1:
The following is a DFT calculation (GGA-PBE) of Sb2MoN2 after structural relaxation.

Values from the calculation:
The total energy is -5.924 eV/atom. The formation energy without anion corrections is 1.221 eV per atom.

a = 3.709 Å, b = 3.709 Å, c = 12.262 Å
α = 90.00°, β = 90.00°, γ = 90.00°
Positions (direct):
1 Sb 0.000 0.000 0.156
2 Sb 0.000 0.000 0.844
3 Sb 0.500 0.500 0.344
4 Sb 0.500 0.500 0.656
5 Mo 0.000 0.000 0.500
6 Mo 0.500 0.500 0.000
7 N 0.000 0.500 0.250
8 N 0.000 0.500 0.750
9 N 0.500 0.000 0.250
10 N 0.500 0.000 0.750

***

Entry 2:
The following is a DFT calculation (GGA-PBE) of AsAuO3 after structural relaxation.

Values from the calculation:
The total energy is -4.035 eV/atom. The formation energy without anion corrections is 0.525 eV per atom.

a = 4.035 Å, b = 4.035 Å, c = 4.035 Å
α = 90.00°, β = 90.00°, γ = 90.00°
Positions (direct):
1 As 0.000 0.000 0.000
2 Au 0.500 0.500 0.500
3 O 0.000 0.500 0.500
4 O 0.500 0.000 0.500
5 O 0.500 0.500 0.000

***

Entry 3:
The following is a DFT calculation (GGA-PBE) of KSrCo2 after structural relaxation.

Values from the calculation:
The excess energy over the best structure of this formula in the dataset comes out at 70.9 kJ/mol of atoms. The total energy is -3.142 eV/atom. For the energy relative to the elements, the calculation gives 1.106 eV/atom.

a = 5.028 Å, b = 5.028 Å, c = 8.325 Å
α = 90.00°, β = 90.00°, γ = 90.00°
Positions (direct):
1 K 0.000 0.000 0.000
2 K 0.500 0.500 0.500
3 Sr 0.000 0.000 0.500
4 Sr 0.500 0.500 0.000
5 Co 0.000 0.500 0.250
6 Co 0.000 0.500 0.750
7 Co 0.500 0.000 0.250
8 Co 0.500 0.000 0.750

***

Entry 4:
The following is a DFT calculation (GGA-PBE) of Cs2SmI6 after structural relaxation.

Values from the calculation:
The total energy is -2.957 eV/atom. The formation energy without anion corrections is -1.209 eV per atom.

a = 4.942 Å, b = 9.818 Å, c = 9.818 Å
α = 120.11°, β = 90.00°, γ = 90.00°
Positions (direct):
1 Cs 0.000 0.167 0.833
2 Cs 0.000 0.833 0.167
3 Sm 0.500 0.501 0.501
4 I 0.000 0.275 0.500
5 I 0.000 0.500 0.275
6 I 0.000 0.727 0.727
7 I 0.500 0.158 0.158
8 I 0.500 0.500 0.844
9 I 0.500 0.844 0.500

***

Entry 5:
The following is a DFT calculation (GGA-PBE) of K2PuZnO5 after structural relaxation.

Values from the calculation:
The total energy is -6.678 eV/atom. The formation energy without anion corrections is -1.946 eV per atom.

a = 7.809 Å, b = 7.809 Å, c = 12.424 Å
α = 90.00°, β = 90.00°, γ = 154.30°
Positions (direct):
1 K 0.067 0.933 0.500
2 K 0.126 0.874 0.166
3 K 0.874 0.126 0.666
4 K 0.933 0.067 0.000
5 Pu 0.215 0.785 0.875
6 Pu 0.785 0.215 0.375
7 Zn 0.425 0.575 0.255
8 Zn 0.575 0.425 0.755
9 O 0.084 0.916 0.862
10 O 0.287 0.713 0.479
11 O 0.291 0.709 0.264
12 O 0.338 0.662 0.868
13 O 0.498 0.502 0.141
14 O 0.502 0.498 0.641
15 O 0.662 0.338 0.368
16 O 0.709 0.291 0.764
17 O 0.713 0.287 0.979
18 O 0.916 0.084 0.362

***

Entry 6:
The following is a DFT calculation (GGA-PBE) of Hf2MnSb2 after structural relaxation.

Values from the calculation:
The excess energy over the best structure of this formula in the dataset comes out at 53.2 kJ/mol of atoms. The total energy is -7.068 eV/atom. The formation energy without anion corrections is 0.396 eV per atom.

a = 4.087 Å, b = 4.087 Å, c = 14.582 Å
α = 90.00°, β = 90.00°, γ = 90.00°
Positions (direct):
1 Hf 0.000 0.000 0.098
2 Hf 0.000 0.000 0.902
3 Hf 0.500 0.500 0.402
4 Hf 0.500 0.500 0.598
5 Mn 0.000 0.000 0.500
6 Mn 0.500 0.500 0.000
7 Sb 0.000 0.500 0.250
8 Sb 0.000 0.500 0.750
9 Sb 0.500 0.000 0.250
10 Sb 0.500 0.000 0.750